Entry 1:
Here is a relaxed MgTi2As2 crystal from Alexandria. Energies are from PBE.

abc: 3.8324 3.8324 7.0552
angles: 74.24 74.24 90.00
With the nearest neighbours (Å) after each atom.
Atoms (fractional coordinates):
As  0.7500  0.2500  0.5000  4 Ti 2.65, 4 As 2.71
As  0.2500  0.7500  0.5000  4 Ti 2.65, 4 As 2.71
Mg  0.0000  0.0000  0.0000  8 Ti 3.06
Ti  0.3904  0.3904  0.2192  4 As 2.65, 1 Ti 2.86
Ti  0.6096  0.6096  0.7808  4 As 2.65, 1 Ti 2.86

Values from the calculation:
M_tot in μB per cell: 0.00
Space-group type: I4/mmm
E above lowest polymorph in eV/atom: 0.5579

=====

Entry 2:
Here is a relaxed MgTi3As crystal from Alexandria. Energies are from PBE.

abc: 4.7157 4.7157 4.7157
angles: 90.00 90.00 90.00
With the nearest neighbours (Å) after each atom.
Atoms (fractional coordinates):
As  0.5000  0.5000  0.5000  12 Ti 3.33
Mg  0.0000  0.0000  0.0000  6 Ti 2.36
Ti  0.0000  0.5000  0.0000  2 Mg 2.36
Ti  0.0000  0.0000  0.5000  2 Mg 2.36
Ti  0.5000  0.0000  0.0000  2 Mg 2.36

Values from the calculation:
M_tot in μB per cell: 1.37
Space-group type: Pm-3m
E above lowest polymorph in eV/atom: 1.0343

=====

Entry 3:
Here is a relaxed Mg3TiAs crystal from Alexandria. Energies are from PBE.

abc: 5.2750 5.2750 5.2750
angles: 90.00 90.00 90.00
With the nearest neighbours (Å) after each atom.
Atoms (fractional coordinates):
As  0.5000  0.5000  0.5000  12 Mg 3.73
Mg  0.0000  0.5000  0.0000  2 Ti 2.64
Mg  0.0000  0.0000  0.5000  2 Ti 2.64
Mg  0.5000  0.0000  0.0000  2 Ti 2.64
Ti  0.0000  0.0000  0.0000  6 Mg 2.64

Values from the calculation:
M_tot in μB per cell: 2.25
Space-group type: Pm-3m
E above lowest polymorph in eV/atom: 0.6226

=====

Entry 4:
Here is a relaxed MgTiAs2 crystal from Alexandria. Energies are from PBE.

abc: 6.0014 6.0014 7.1722
angles: 65.27 65.27 90.00
With the nearest neighbours (Å) after each atom.
Atoms (fractional coordinates):
As  0.6525  0.1250  0.2500  2 Ti 2.47, 2 Mg 2.67
As  0.0975  0.6250  0.2500  2 Ti 2.47, 2 Mg 2.67
As  0.3750  0.3475  0.7500  2 Ti 2.47, 2 Mg 2.67
As  0.8750  0.9025  0.7500  2 Ti 2.47, 2 Mg 2.67
Mg  0.5000  0.5000  0.0000  4 As 2.67
Mg  0.2500  0.7500  0.5000  4 As 2.67
Ti  0.0000  0.0000  0.0000  4 As 2.47
Ti  0.7500  0.2500  0.5000  4 As 2.47

Values from the calculation:
M_tot in μB per cell: 0.00
Space-group type: I-42d

=====

Entry 5:
Here is a relaxed Mg2Ti2As crystal from Alexandria. Energies are from PBE.

abc: 3.4817 3.4817 9.0174
angles: 78.87 78.87 90.00
With the nearest neighbours (Å) after each atom.
Atoms (fractional coordinates):
As  0.0000  0.0000  0.0000  8 Mg 2.96
Mg  0.4053  0.4053  0.1894  4 As 2.96, 4 Ti 3.21, 1 Mg 3.29
Mg  0.5947  0.5947  0.8106  4 As 2.96, 4 Ti 3.21, 1 Mg 3.29
Ti  0.7500  0.2500  0.5000  4 Ti 2.46
Ti  0.2500  0.7500  0.5000  4 Ti 2.46

Values from the calculation:
M_tot in μB per cell: 0.00
Space-group type: I4/mmm
E above lowest polymorph in eV/atom: 0.4549

=====

Entry 6:
Here is a relaxed MgTiAs crystal from Alexandria. Energies are from PBE.

abc: 3.9573 3.9573 6.8742
angles: 90.00 90.00 90.00
With the nearest neighbours (Å) after each atom.
Atoms (fractional coordinates):
Mg  0.0000  0.5000  0.8381  5 As 2.70-2.84
Mg  0.5000  0.0000  0.1619  5 As 2.70-2.84
As  0.0000  0.5000  0.2314  5 Mg 2.70-2.84, 4 Ti 2.71
As  0.5000  0.0000  0.7686  5 Mg 2.70-2.84, 4 Ti 2.71
Ti  0.5000  0.5000  0.5000  4 As 2.71, 4 Ti 2.80
Ti  0.0000  0.0000  0.5000  4 As 2.71, 4 Ti 2.80

Values from the calculation:
M_tot in μB per cell: 0.00
Space-group type: P4/nmm

=====

Entry 7:
Here is a relaxed Mg2Ti2As crystal from Alexandria. Energies are from PBE.

abc: 6.7525 6.7525 4.2085
angles: 90.00 90.00 90.00
With the nearest neighbours (Å) after each atom.
Atoms (fractional coordinates):
As  0.0000  0.0000  0.0000  4 Mg 2.60
As  0.5000  0.5000  0.0000  4 Mg 2.60
Mg  0.3579  0.8579  0.0000  2 As 2.60, 1 Mg 2.71, 6 Ti 2.89
Mg  0.8579  0.6421  0.0000  2 As 2.60, 1 Mg 2.71, 6 Ti 2.89
Mg  0.6421  0.1421  0.0000  2 As 2.60, 1 Mg 2.71, 6 Ti 2.89
Mg  0.1421  0.3579  0.0000  2 As 2.60, 1 Mg 2.71, 6 Ti 2.89
Ti  0.1508  0.6508  0.5000  1 Ti 2.88, 6 Mg 2.89
Ti  0.6508  0.8492  0.5000  1 Ti 2.88, 6 Mg 2.89
Ti  0.8492  0.3492  0.5000  1 Ti 2.88, 6 Mg 2.89
Ti  0.3492  0.1508  0.5000  1 Ti 2.88, 6 Mg 2.89

Values from the calculation:
M_tot in μB per cell: 0.00
Space-group type: P4/mbm
E above lowest polymorph in eV/atom: 0.4138

=====

Entry 8:
Here is a relaxed MgTi5As4 crystal from Alexandria. Energies are from PBE.

abc: 3.5991 7.3109 7.3109
angles: 71.01 75.75 75.75
With the nearest neighbours (Å) after each atom.
Atoms (fractional coordinates):
Mg  0.2500  0.0000  0.0000  2 As 2.50
Ti  0.5949  0.3557  0.9546  5 As 2.64-2.74, 2 Ti 2.93
Ti  0.9051  0.0454  0.6443  5 As 2.64-2.74, 2 Ti 2.93
Ti  0.7500  0.5000  0.5000  6 As 2.51-2.78
Ti  0.5949  0.9546  0.3557  5 As 2.64-2.74, 2 Ti 2.93
Ti  0.9051  0.6443  0.0454  5 As 2.64-2.74, 2 Ti 2.93
As  0.2500  0.2948  0.7052  1 Mg 2.50, 6 Ti 2.51-2.64
As  0.9949  0.2551  0.2551  7 Ti 2.72-2.78, 1 Mg 2.89
As  0.5051  0.7449  0.7449  7 Ti 2.72-2.78, 1 Mg 2.89
As  0.2500  0.7052  0.2948  1 Mg 2.50, 6 Ti 2.51-2.64

Values from the calculation:
M_tot in μB per cell: 0.00
Space-group type: Immm

=====

Entry 9:
Here is a relaxed Mg2TiAs2 crystal from Alexandria. Energies are from PBE.

abc: 6.9229 6.9229 3.9305
angles: 90.00 90.00 90.00
With the nearest neighbours (Å) after each atom.
Atoms (fractional coordinates):
As  0.3429  0.8429  0.0000  2 Ti 2.61, 2 Mg 2.68
As  0.8429  0.6571  0.0000  2 Ti 2.61, 2 Mg 2.68
As  0.6571  0.1571  0.0000  2 Ti 2.61, 2 Mg 2.68
As  0.1571  0.3429  0.0000  2 Ti 2.61, 2 Mg 2.68
Mg  0.1573  0.6573  0.5000  6 As 2.68-2.93
Mg  0.6573  0.8427  0.5000  6 As 2.68-2.93
Mg  0.8427  0.3427  0.5000  6 As 2.68-2.93
Mg  0.3427  0.1573  0.5000  6 As 2.68-2.93
Ti  0.0000  0.0000  0.0000  4 As 2.61
Ti  0.5000  0.5000  0.0000  4 As 2.61

Values from the calculation:
M_tot in μB per cell: 0.00
Space-group type: P4/mbm

=====

Entry 10:
Here is a relaxed MgTlAs2 crystal from Alexandria. Energies are from PBE.

abc: 3.7139 3.6965 7.9131
angles: 61.96 90.00 90.00
With the nearest neighbours (Å) after each atom.
Atoms (fractional coordinates):
As  0.0000  0.9272  0.0737  1 As 2.46
As  0.0000  0.5728  0.4263  1 As 2.46
Mg  0.5000  0.2500  0.2500  8 As 2.89-2.90
Tl  0.5000  0.7500  0.7500  8 As 3.45-3.47, 2 Mg 3.49, 4 Tl 3.70-3.71

Values from the calculation:
M_tot in μB per cell: 0.00
Space-group type: P2/m
E above lowest polymorph in eV/atom: 0.0000

=====

Entry 11:
Here is a relaxed MgTlAs2 crystal from Alexandria. Energies are from PBE.

abc: 5.0212 5.0212 5.0212
angles: 60.00 60.00 60.00
With the nearest neighbours (Å) after each atom.
Atoms (fractional coordinates):
As  0.0000  0.0000  0.0000  4 As 3.07, 4 Tl 3.07
As  0.2500  0.2500  0.2500  4 Mg 3.07, 4 As 3.07
Mg  0.5000  0.5000  0.5000  4 Tl 3.07, 4 As 3.07
Tl  0.7500  0.7500  0.7500  4 As 3.07, 4 Mg 3.07

Values from the calculation:
M_tot in μB per cell: 0.00
Space-group type: F-43m
E above lowest polymorph in eV/atom: 0.3182

=====

Entry 12:
Here is a relaxed Mg2TlAs crystal from Alexandria. Energies are from PBE.

abc: 7.7355 7.7355 6.4433
angles: 53.11 53.11 90.00
With the nearest neighbours (Å) after each atom.
Atoms (fractional coordinates):
Mg  0.5709  0.1250  0.2500  2 As 2.60
Mg  0.1791  0.6250  0.2500  2 As 2.60
Mg  0.3750  0.4291  0.7500  2 As 2.60
Mg  0.8750  0.8209  0.7500  2 As 2.60
Tl  0.0000  0.0000  0.0000  4 Mg 3.16, 2 As 3.41
Tl  0.7500  0.2500  0.5000  4 Mg 3.16, 2 As 3.41
As  0.5000  0.5000  0.0000  4 Mg 2.60
As  0.2500  0.7500  0.5000  4 Mg 2.60

Values from the calculation:
M_tot in μB per cell: 0.00
Space-group type: I-42d
E above lowest polymorph in eV/atom: 0.1712

=====

Entry 13:
Here is a relaxed Mg2TlAs crystal from Alexandria. Energies are from PBE.

abc: 5.2779 5.2779 5.2779
angles: 127.64 127.64 77.22
With the nearest neighbours (Å) after each atom.
Atoms (fractional coordinates):
As  0.7500  0.2500  0.5000  8 Mg 3.11, 4 Tl 3.29
Mg  0.0000  0.0000  0.0000  4 Tl 3.11, 4 As 3.11, 4 Mg 3.29
Mg  0.5000  0.5000  0.0000  4 Tl 3.11, 4 As 3.11, 4 Mg 3.29
Tl  0.2500  0.7500  0.5000  8 Mg 3.11, 4 As 3.29

Values from the calculation:
M_tot in μB per cell: 0.00
Space-group type: I4/mmm
E above lowest polymorph in eV/atom: 0.1685

=====

Entry 14:
Here is a relaxed MgTlAs2 crystal from Alexandria. Energies are from PBE.

abc: 7.0236 7.0236 7.0236
angles: 149.99 144.75 46.96
With the nearest neighbours (Å) after each atom.
Atoms (fractional coordinates):
As  0.9891  0.9891  0.0000  2 As 2.73, 4 Mg 2.81
As  0.8315  0.3315  0.5000  2 As 2.73, 2 Mg 2.79
Mg  0.4715  0.4715  0.0000  6 As 2.79-2.81
Tl  0.2079  0.7079  0.5000  6 As 3.22-3.35

Values from the calculation:
M_tot in μB per cell: 0.00
Space-group type: Imm2
E above lowest polymorph in eV/atom: 0.0710

=====

Entry 15:
Here is a relaxed MgTlAs2 crystal from Alexandria. Energies are from PBE.

abc: 4.9257 4.9257 4.1433
angles: 78.57 78.57 105.20
With the nearest neighbours (Å) after each atom.
Atoms (fractional coordinates):
As  0.0000  0.0000  0.0000  2 Tl 2.89, 2 Mg 2.89, 2 As 2.99
As  0.5000  0.5000  0.0000  2 Mg 2.89, 2 Tl 2.89, 2 As 2.99
Mg  0.5000  0.0000  0.5000  4 As 2.89, 2 Tl 2.99
Tl  0.0000  0.5000  0.5000  4 As 2.89, 2 Mg 2.99

Values from the calculation:
M_tot in μB per cell: 0.00
Space-group type: C2/m
E above lowest polymorph in eV/atom: 0.1893

=====

Entry 16:
Here is a relaxed MgTlAs2 crystal from Alexandria. Energies are from PBE.

abc: 5.0331 5.0331 5.0331
angles: 60.00 60.00 60.00
With the nearest neighbours (Å) after each atom.
Atoms (fractional coordinates):
Mg  0.0000  0.0000  0.0000  8 As 3.08
Tl  0.5000  0.5000  0.5000  8 As 3.08
As  0.2500  0.2500  0.2500  4 Tl 3.08, 4 Mg 3.08
As  0.7500  0.7500  0.7500  4 Tl 3.08, 4 Mg 3.08

Values from the calculation:
M_tot in μB per cell: 0.00
Space-group type: Fm-3m
E above lowest polymorph in eV/atom: 0.3079

=====

Entry 17:
Here is a relaxed Mg2TlAs crystal from Alexandria. Energies are from PBE.

abc: 4.6753 4.8591 3.9090
angles: 90.00 90.00 90.00
With the nearest neighbours (Å) after each atom.
Atoms (fractional coordinates):
As  0.0000  0.5000  0.5000  8 Mg 3.05-3.12, 4 Tl 3.37
Mg  0.0000  0.0000  0.0000  4 Tl 3.05, 4 As 3.12, 4 Mg 3.37
Mg  0.5000  0.5000  0.0000  4 As 3.05, 4 Tl 3.12, 4 Mg 3.37
Tl  0.5000  0.0000  0.5000  8 Mg 3.05-3.12, 4 As 3.37

Values from the calculation:
M_tot in μB per cell: 0.00
Space-group type: Pmmm
E above lowest polymorph in eV/atom: 0.1430

=====

Entry 18:
Here is a relaxed MgTlAs2 crystal from Alexandria. Energies are from PBE.

abc: 3.5327 3.5327 7.5790
angles: 90.00 90.00 90.00
With the nearest neighbours (Å) after each atom.
Atoms (fractional coordinates):
As  0.0000  0.0000  0.0830  4 As 2.73, 1 Mg 2.82
As  0.5000  0.5000  0.2277  4 As 2.73, 4 Mg 3.04
Mg  0.0000  0.0000  0.4554  5 As 2.82-3.04
Tl  0.5000  0.5000  0.7339  4 Mg 3.27, 4 Tl 3.53, 4 As 3.64

Values from the calculation:
M_tot in μB per cell: 0.00
Space-group type: P4mm
E above lowest polymorph in eV/atom: 0.1808

=====

Entry 19:
Here is a relaxed MgTlAs2 crystal from Alexandria. Energies are from PBE.

abc: 3.1251 3.1251 9.3472
angles: 90.00 90.00 90.09
With the nearest neighbours (Å) after each atom.
Atoms (fractional coordinates):
As  0.0000  0.0000  0.0484  4 Mg 2.90-2.91, 4 As 3.13
As  0.0000  0.0000  0.4516  4 Mg 2.90-2.91, 4 As 3.13
Mg  0.5000  0.5000  0.2500  8 As 2.90-2.91, 4 Mg 3.13
Tl  0.5000  0.5000  0.7500  4 Tl 3.13

Values from the calculation:
M_tot in μB per cell: 0.00
Space-group type: P4/mmm
E above lowest polymorph in eV/atom: 0.0849

=====

Entry 20:
Here is a relaxed Mg2TlAs crystal from Alexandria. Energies are from PBE.

abc: 3.5104 3.7281 7.7449
angles: 61.36 90.00 90.00
With the nearest neighbours (Å) after each atom.
Atoms (fractional coordinates):
Mg  0.0000  0.0336  0.9656  1 Mg 2.93, 4 As 2.95, 4 Tl 3.21
Mg  0.0000  0.4664  0.5344  1 Mg 2.93, 4 As 2.95, 4 Tl 3.21
Tl  0.5000  0.2500  0.2500  8 Mg 3.21, 2 As 3.40, 2 Tl 3.51
As  0.5000  0.7500  0.7500  8 Mg 2.95

Values from the calculation:
M_tot in μB per cell: 0.00
Space-group type: P2/m
E above lowest polymorph in eV/atom: 0.1180

=====

Volume? In order: 95.7; 104.9; 146.8; 104.1; 105.2; 53.8; 95.9; 173.4; 94.2; 95.9; 89.5; 101.9; 89.5; 99.7; 91.7; 90.2; 88.8; 94.6; 91.3; 89.0 Å³/f.u..
ΔH_f (0 K)? In order: -12; 108; 107; -41; 26; -65; 22; -65; -46; -15; 16; -11; -11; -8; 3; 15; -14; 3; -7; -16 kJ per mole of atoms.